CuHgP2 | PBE | optimized geometry

extended XYZ file:
```
4
Lattice="3.2707 0.0000 0.0000 0.0000 4.2731 0.2108 0.0000 2.6976 6.4448" Properties=species:S:1:pos:R:3 pbc="T T T"
Hg 1.6354 2.4716 4.7405
Cu 0.0000 2.3407 2.5707
P 0.0000 4.5018 2.0023
P 1.6354 1.1420 0.6699
```

Summary:
- energy of formation (eV per atom) = 0.0926
- uncorrected energy (eV per atom) = -3.712
- crystal system = monoclinic